Material: YPb2Br
Method: DFT, PBE
State: optimized geometry

abc: 10.3901 10.3901 10.3901
angles: 20.57 20.57 20.57
Fractional positions:
1 Pb 0.4974 0.4974 0.4974
2 Y 0.2500 0.2500 0.2500
3 Pb 0.0026 0.0026 0.0026
4 Br 0.7500 0.7500 0.7500

Results
The value obtained for the uncorrected formation energy is -0.166 eV per atom. The calculation puts the density of states at the Fermi level at 4.66 states/eV per cell. The space group is R-3m, No. 166. The energy is -16.2 eV for the cell shown. For the relative energy among the computed polymorphs, the calculation gives 417 meV/atom.